Arrangement w

11
Lattice="5.818 1.672 0.000 2.679 8.860 0.000 1.340 4.430 8.399" Properties=species:S:1:pos:R:3 comment="Pr8Nd2Tm | the Alexandria database | GGA-PBE | relaxed" density_g_cm3=6.66 magnetic_moment_mub_per_atom=0.000 pbc="T T T"
Pr 6.702 7.703 6.453
Pr 2.851 4.205 0.000
Pr 4.249 5.266 4.953
Pr 5.363 3.273 1.946
Pr 4.474 11.688 6.453
Pr 5.647 6.326 0.000
Pr 5.588 9.696 3.446
Pr 3.135 7.258 1.946
Nd 2.679 8.860 5.177
Nd 1.340 4.430 3.222
Tm 2.909 0.836 0.000

=====

Arrangement x

11
Lattice="5.209 1.173 2.645 1.154 9.447 6.927 0.277 4.015 11.062" Properties=species:S:1:pos:R:3 comment="Pr8Nd2Tm | the Alexandria database | GGA-PBE | relaxed" density_g_cm3=6.71 magnetic_moment_mub_per_atom=0.000 pbc="T T T"
Pr 3.557 3.211 4.973
Pr 2.768 9.755 10.307
Pr 3.083 11.423 15.661
Pr 4.347 7.815 8.092
Pr 3.873 4.879 10.327
Pr 2.294 6.820 12.541
Pr 1.639 5.594 7.696
Pr 5.001 9.041 12.937
Tm 0.000 0.000 0.000
Nd 1.231 9.903 13.270
Nd 5.410 4.732 7.363

=====

Bottom line: arrangement w, by a margin of 11 meV per atom.

=====

Arrangement w

16
Lattice="-1.555 -4.879 -0.321 0.971 -0.781 7.162 -13.717 4.220 2.320" Properties=species:S:1:pos:R:3 comment="PrNd5Tm2 | the Alexandria database | GGA-PBE | relaxed" density_g_cm3=7.35 magnetic_moment_mub_per_atom=0.000 pbc="T T T"
Pr -6.858 2.110 1.160
Pr 0.485 -0.391 3.581
Nd -3.424 1.053 0.583
Nd 0.000 0.000 0.000
Nd -5.675 -1.053 2.504
Nd -1.766 -2.497 5.506
Nd -2.948 0.665 4.165
Nd -9.321 2.386 8.899
Nd -12.535 1.058 3.655
Nd -8.626 -0.386 6.656
Nd -9.798 2.774 5.316
Nd -6.373 1.719 4.741
Tm -5.189 -1.444 6.081
Tm -9.112 0.004 3.079
Tm -12.048 0.666 7.238
Tm -2.253 -2.106 1.922

=====

Arrangement x

8
Lattice="3.536 0.000 -0.703 -0.957 10.239 -4.816 -0.113 -2.224 8.681" Properties=species:S:1:pos:R:3 comment="PrNd5Tm2 | the Alexandria database | GGA-PBE | relaxed" density_g_cm3=7.27 magnetic_moment_mub_per_atom=0.000 pbc="T T T"
Tm 2.339 1.400 2.512
Tm 0.127 6.614 0.650
Nd 0.645 4.479 3.246
Nd 1.381 8.238 -2.296
Nd -0.478 5.119 -2.408
Nd 1.820 3.536 -0.084
Nd 1.085 -0.223 5.458
Pr 0.000 0.000 0.000

=====

Bottom line: arrangement w, by a margin of 24 meV per atom.

=====

Arrangement w

14
Lattice="6.937 -0.848 -1.437 -5.270 8.288 -4.169 1.614 -0.755 8.570" Properties=species:S:1:pos:R:3 comment="PrNd2Tm4 | the Alexandria database | GGA-PBE | relaxed" density_g_cm3=8.12 magnetic_moment_mub_per_atom=0.000 pbc="T T T"
Pr 0.554 0.127 0.487
Pr 2.740 3.012 0.324
Nd -2.002 6.727 1.609
Nd 6.456 0.319 2.351
Nd 2.997 0.716 3.063
Nd -0.973 5.678 -1.689
Tm 4.052 -0.278 -0.245
Tm 2.481 5.273 -2.397
Tm 1.934 1.703 6.340
Tm 5.420 1.266 5.625
Tm 1.679 3.997 3.605
Tm -0.724 3.431 1.044
Tm 1.432 6.285 0.885
Tm -1.773 4.413 4.330

=====

Arrangement x

14
Lattice="-8.734 3.382 -0.517 -1.491 -1.225 8.802 4.421 5.332 -4.878" Properties=species:S:1:pos:R:3 comment="PrNd2Tm4 | the Alexandria database | GGA-PBE | relaxed" density_g_cm3=7.88 magnetic_moment_mub_per_atom=0.000 pbc="T T T"
Pr 3.314 5.235 -2.526
Pr 1.037 2.692 3.223
Tm -1.647 2.182 -0.952
Tm -1.809 4.473 2.005
Tm -7.459 4.015 -0.391
Tm -4.723 6.009 0.915
Tm -0.260 0.659 5.745
Tm -0.078 4.829 -3.002
Tm -4.680 4.767 4.119
Tm -3.398 1.824 4.068
Nd -5.973 2.737 6.638
Nd 1.165 4.090 0.137
Nd -4.622 2.558 0.917
Nd -2.355 6.786 -1.305

=====

Bottom line: arrangement w, by a margin of 135 meV per atom.

=====

Arrangement w

9
Lattice="3.532 0.000 0.000 0.000 8.406 -4.853 0.000 0.000 9.707" Properties=species:S:1:pos:R:3 comment="Pr2NdTm6 | the Alexandria database | GGA-PBE | relaxed" density_g_cm3=8.29 magnetic_moment_mub_per_atom=0.000 pbc="T T T"
Nd 1.766 0.000 0.000
Tm 0.814 2.759 7.905
Tm 2.719 8.226 1.564
Tm 2.719 5.647 -3.052
Tm 0.814 0.181 3.290
Tm 0.814 5.467 3.365
Tm 2.719 2.939 1.488
Pr 2.606 2.802 4.853
Pr 0.926 5.604 0.000

=====

Arrangement x

18
Lattice="-3.810 -5.346 -0.115 2.701 -3.439 -8.478 5.585 -5.788 5.129" Properties=species:S:1:pos:R:3 comment="Pr2NdTm6 | the Alexandria database | GGA-PBE | relaxed" density_g_cm3=8.23 magnetic_moment_mub_per_atom=0.000 pbc="T T T"
Tm -0.078 -6.805 1.813
Tm 0.610 -10.097 0.897
Tm -1.757 -4.663 -1.709
Tm 6.233 -9.910 -1.756
Tm 0.651 -2.400 0.724
Tm 3.866 -4.476 -4.362
Tm 3.825 -12.173 -4.189
Tm 1.422 -6.534 -4.199
Tm 3.053 -8.038 0.734
Tm 0.655 -3.178 -3.659
Tm 3.821 -11.395 0.194
Tm 4.554 -7.767 -5.278
Pr 4.932 -6.671 -1.782
Pr -0.456 -7.902 -1.683
Pr 2.863 -9.210 -2.612
Pr 1.613 -5.362 -0.853
Nd 4.287 -6.843 3.471
Nd 0.189 -7.729 -6.936

=====

Bottom line: arrangement w, by a margin of 27 meV per atom.